Compound: Dy2ThZr
Source: the Alexandria database
Functional: PBE-GGA
Structure: relaxed

Results
DFT total energy (eV/atom): -6.09
ΔH_f (0 K) (eV per atom): 0.201

Unit cell a=4.063 b=4.063 c=7.088 alpha=90.00 beta=90.00 gamma=90.00
Fractional coordinates of all 4 atoms:
Th 0.500 0.500 0.500
Dy 0.000 0.000 0.230
Zr 0.500 0.500 0.000
Dy 0.000 0.000 0.770


Compound: Dy2ThZr
Source: the Alexandria database
Functional: PBE-GGA
Structure: relaxed

Results
DFT total energy (eV/atom): -6.22
ΔH_f (0 K) (eV per atom): 0.068

Unit cell a=3.483 b=3.483 c=11.300 alpha=81.13 beta=81.13 gamma=60.00
Fractional coordinates of all 4 atoms:
Th 0.666 0.666 0.001
Dy 0.246 0.246 0.261
Dy 0.087 0.087 0.738
Zr 0.500 0.500 0.499


Compound: DyTh2Zr
Source: the Alexandria database
Functional: PBE-GGA
Structure: relaxed

Results
DFT total energy (eV/atom): -6.89
ΔH_f (0 K) (eV per atom): 0.103

Unit cell a=4.883 b=4.929 c=4.929 alpha=90.00 beta=90.00 gamma=90.00
Fractional coordinates of all 4 atoms:
Dy 0.500 0.000 0.000
Th 0.000 0.500 0.000
Zr 0.500 0.500 0.500
Th 0.000 0.000 0.500


Compound: Dy5Th3Zr12
Source: the Alexandria database
Functional: PBE-GGA
Structure: relaxed

Results
DFT total energy (eV/atom): -6.20
ΔH_f (0 K) (eV per atom): 1.190

Unit cell a=15.504 b=15.504 c=15.504 alpha=109.47 beta=109.47 gamma=109.47
Fractional coordinates of all 80 atoms:
Dy 0.750 0.625 0.375
Zr 0.912 0.345 0.273
Dy 0.000 0.000 0.000
Zr 0.140 0.067 0.912
Th 0.125 0.875 0.750
Dy 0.500 0.000 0.500
Th 0.625 0.250 0.375
Th 0.250 0.125 0.375
Zr 0.155 0.727 0.588
Dy 0.000 0.500 0.500
Zr 0.773 0.360 0.927
Zr 0.640 0.412 0.567
Zr 0.655 0.567 0.927
Zr 0.573 0.727 0.640
Zr 0.073 0.933 0.345
Zr 0.933 0.860 0.588
Zr 0.573 0.845 0.433
Zr 0.427 0.273 0.360
Zr 0.140 0.073 0.727
Dy 0.375 0.250 0.125
Dy 0.750 0.125 0.875
Dy 0.625 0.750 0.875
Th 0.125 0.250 0.875
Zr 0.655 0.088 0.227
Zr 0.933 0.073 0.845
Zr 0.073 0.140 0.227
Zr 0.412 0.773 0.845
Th 0.375 0.750 0.625
Zr 0.345 0.912 0.773
Zr 0.927 0.067 0.655
Dy 0.250 0.375 0.625
Dy 0.000 0.500 0.000
Zr 0.860 0.933 0.088
Zr 0.360 0.588 0.433
Th 0.375 0.625 0.250
Zr 0.433 0.345 0.573
Th 0.750 0.375 0.125
Zr 0.845 0.273 0.412
Zr 0.845 0.573 0.933
Zr 0.155 0.427 0.067
Zr 0.360 0.773 0.427
Zr 0.912 0.567 0.140
Zr 0.727 0.155 0.088
Zr 0.640 0.227 0.573
Zr 0.860 0.927 0.273
Zr 0.588 0.360 0.933
Zr 0.927 0.860 0.773
Zr 0.773 0.412 0.345
Th 0.875 0.125 0.250
Zr 0.067 0.140 0.412
Dy 0.125 0.750 0.375
Dy 0.500 0.500 0.000
Dy 0.125 0.375 0.250
Zr 0.567 0.655 0.427
Dy 0.875 0.250 0.625
Zr 0.427 0.155 0.567
Zr 0.273 0.845 0.912
Dy 0.875 0.625 0.750
Zr 0.273 0.427 0.860
Zr 0.067 0.927 0.155
Dy 0.375 0.125 0.750
Zr 0.088 0.655 0.727
Zr 0.227 0.640 0.073
Zr 0.088 0.433 0.860
Dy 0.000 0.000 0.500
Zr 0.433 0.088 0.360
Th 0.875 0.750 0.125
Zr 0.227 0.588 0.655
Dy 0.250 0.875 0.125
Dy 0.500 0.500 0.500
Zr 0.345 0.433 0.073
Th 0.250 0.625 0.875
Zr 0.727 0.573 0.140
Dy 0.625 0.875 0.250
Zr 0.588 0.227 0.155
Th 0.750 0.875 0.625
Zr 0.412 0.640 0.067
Zr 0.567 0.912 0.640
Dy 0.500 0.000 0.000
Th 0.625 0.375 0.750


Compound: Dy2ThZr
Source: the Alexandria database
Functional: PBE-GGA
Structure: relaxed

Results
DFT total energy (eV/atom): -5.99
ΔH_f (0 K) (eV per atom): 0.300

Unit cell a=3.396 b=3.396 c=12.064 alpha=81.91 beta=81.91 gamma=60.00
Fractional coordinates of all 4 atoms:
Dy 0.087 0.087 0.738
Th 0.500 0.500 0.500
Zr 0.000 0.000 0.000
Dy 0.913 0.913 0.262


Compound: DyTh2Zr
Source: the Alexandria database
Functional: PBE-GGA
Structure: relaxed

Results
DFT total energy (eV/atom): -6.89
ΔH_f (0 K) (eV per atom): 0.107

Unit cell a=3.484 b=3.484 c=11.441 alpha=81.24 beta=81.24 gamma=60.00
Fractional coordinates of all 4 atoms:
Zr 0.668 0.668 0.995
Dy 0.498 0.498 0.506
Th 0.081 0.081 0.758
Th 0.253 0.253 0.241


Compound: DyThZr
Source: the Alexandria database
Functional: PBE-GGA
Structure: relaxed

Results
DFT total energy (eV/atom): -6.76
ΔH_f (0 K) (eV per atom): 0.096

Unit cell a=3.397 b=3.397 c=7.848 alpha=102.50 beta=102.50 gamma=90.00
Fractional coordinates of all 3 atoms:
Th 0.007 0.007 0.014
Zr 0.667 0.667 0.334
Dy 0.326 0.326 0.652


Compound: DyThZr
Source: the Alexandria database
Functional: PBE-GGA
Structure: relaxed

Results
DFT total energy (eV/atom): -6.76
ΔH_f (0 K) (eV per atom): 0.102

Unit cell a=3.456 b=3.456 c=8.267 alpha=90.00 beta=90.00 gamma=120.00
Fractional coordinates of all 3 atoms:
Dy 0.667 0.333 0.327
Zr 0.000 0.000 0.996
Th 0.333 0.667 0.677